No. 1
Crystalline PmDyRu at its relaxed geometry, computed with PBE.

Summary:
E_tot (eV/cell): -19.3
D(E_F) (states/eV/atom): 0.68
Mass density (g/cm3): 8.5
DFT formation energy (meV per atom): -223
Crystal system: cubic
E above lowest polymorph (meV/atom): 39

Cell lengths 4.834, 4.834, 4.834 Å; angles 60.00, 60.00, 60.00 degrees
Positions (direct):
Pm 0.000 0.000 0.000
Dy 0.500 0.500 0.500
Ru 0.250 0.250 0.250



No. 2
Crystalline Pm12DyRu7 at its relaxed geometry, computed with PBE.

Summary:
E_tot (eV/cell): -129.2
D(E_F) (states/eV/atom): 0.77
Mass density (g/cm3): 7.7
DFT formation energy (meV per atom): -134
Crystal system: trigonal

Cell lengths 9.065, 9.065, 9.065 Å; angles 109.79, 109.79, 109.79 degrees
Positions (direct):
Pm 0.104 0.663 0.251
Pm 0.127 0.336 0.416
Pm 0.251 0.104 0.663
Pm 0.336 0.416 0.127
Pm 0.337 0.749 0.896
Pm 0.416 0.127 0.336
Pm 0.584 0.873 0.664
Pm 0.663 0.251 0.104
Pm 0.664 0.584 0.873
Pm 0.749 0.896 0.337
Pm 0.873 0.664 0.584
Pm 0.896 0.337 0.749
Dy 0.000 0.000 0.000
Ru 0.051 0.948 0.289
Ru 0.052 0.711 0.949
Ru 0.289 0.051 0.948
Ru 0.500 0.500 0.500
Ru 0.711 0.949 0.052
Ru 0.948 0.289 0.051
Ru 0.949 0.052 0.711



No. 3
Crystalline Pm3Dy2Ru2 at its relaxed geometry, computed with PBE.

Summary:
E_tot (eV/cell): -43.8
D(E_F) (states/eV/atom): 0.77
Mass density (g/cm3): 8.4
DFT formation energy (meV per atom): -256
Crystal system: monoclinic

Cell lengths 6.383, 6.383, 8.591 Å; angles 111.92, 111.92, 36.00 degrees
Positions (direct):
Pm 0.000 0.000 0.000
Pm 0.120 0.120 0.428
Pm 0.880 0.880 0.572
Dy 0.331 0.331 0.185
Dy 0.669 0.669 0.815
Ru 0.318 0.318 0.778
Ru 0.682 0.682 0.222



No. 4
Crystalline Pm2Dy3Ru2 at its relaxed geometry, computed with PBE.

Summary:
E_tot (eV/cell): -43.9
D(E_F) (states/eV/atom): 0.68
Mass density (g/cm3): 8.7
DFT formation energy (meV per atom): -297
Crystal system: monoclinic

Cell lengths 6.353, 6.353, 8.810 Å; angles 114.03, 114.03, 35.44 degrees
Positions (direct):
Pm 0.164 0.164 0.303
Pm 0.836 0.836 0.697
Dy 0.378 0.378 0.074
Dy 0.500 0.500 0.500
Dy 0.622 0.622 0.926
Ru 0.178 0.178 0.731
Ru 0.822 0.822 0.269